Na4Au | PBE | optimized geometry

Output
* calculated total energy: -1.674 eV per atom
* space group: Fd-3m, No. 227
* DOS at the Fermi energy: 5.8 states/eV per cell
* theoretical density: 2.5 g/cm³
* DFT formation energy: 0.037 eV per atom
* polymorph energy (0 for the lowest one): 0.183 eV per atom
* magnetic moment: 0.000 μB per atom

Cell: 8.110 8.110 8.110 Å, 60.00 60.00 60.00°
Atoms (fractional coordinates):
1 Na 0.859 0.859 0.859
2 Na 0.859 0.423 0.859
3 Na 0.859 0.859 0.423
4 Na 0.391 0.827 0.391
5 Na 0.391 0.391 0.391
6 Na 0.423 0.859 0.859
7 Na 0.391 0.391 0.827
8 Na 0.827 0.391 0.391
9 Au 0.250 0.250 0.250
10 Au 0.000 0.000 0.000

***

AcPmRe2O8 | PBE | optimized geometry

Output
* calculated total energy: -8.172 eV per atom
* space group: P-3, No. 147
* theoretical density: 6.3 g/cm³
* formation energy (no corrections): -2.0534 eV per atom
* magnetic moment: 0.333 μB per atom

Cell: 5.981 5.981 7.373 Å, 90.00 90.00 120.00°
Each line ends with the local moment (μB).
Atoms (fractional coordinates):
1 Ac 0.000 0.000 0.000  -0.03
2 Pm 0.000 0.000 0.500  -0.09
3 Re 0.667 0.333 0.204  -1.31
4 Re 0.333 0.667 0.796  -1.31
5 O 0.333 0.667 0.042  -0.18
6 O 0.319 0.159 0.275  -0.07
7 O 0.841 0.161 0.275  -0.07
8 O 0.667 0.333 0.958  -0.18
9 O 0.159 0.839 0.725  -0.07
10 O 0.681 0.841 0.725  -0.07
11 O 0.161 0.319 0.725  -0.07
12 O 0.839 0.681 0.275  -0.07

***

Ta5Pt4 | PBE | optimized geometry

Output
* calculated total energy: -9.701 eV per atom
* space group: I4/mmm, No. 139
* DOS at the Fermi energy: 8.1 states/eV per cell
* theoretical density: 18.4 g/cm³
* DFT formation energy: -0.431 eV per atom
* polymorph energy (0 for the lowest one): 0.017 eV per atom
* magnetic moment: 0.000 μB per atom

Cell: 6.523 6.523 6.523 Å, 95.22 95.22 144.90°
Atoms (fractional coordinates):
1 Ta 0.000 0.000 0.000
2 Ta 0.329 0.671 0.000
3 Ta 0.671 0.671 0.342
4 Ta 0.329 0.329 0.658
5 Ta 0.671 0.329 0.000
6 Pt 0.328 0.000 0.328
7 Pt 0.672 0.000 0.672
8 Pt 0.000 0.672 0.672
9 Pt 0.000 0.328 0.328

***

TcSbCl2 | PBE | optimized geometry

Output
* calculated total energy: -3.940 eV per atom
* space group: Pmmm, No. 47
* DOS at the Fermi energy: 2.5 states/eV per cell
* theoretical density: 5.6 g/cm³
* formation energy (no corrections): 0.6056 eV per atom
* polymorph energy (0 for the lowest one): 0.829 eV per atom
* magnetic moment: 0.883 μB per atom

Cell: 3.150 4.355 6.247 Å, 90.00 90.00 90.00°
Each line ends with the local moment (μB).
Atoms (fractional coordinates):
1 Sb 0.500 0.500 0.250  -0.07
2 Tc 0.500 0.500 0.750  3.13
3 Cl 0.000 0.000 0.986  0.07
4 Cl 0.000 0.000 0.514  0.07

***

FeH3N | PBE | optimized geometry

Output
* calculated total energy: -4.031 eV per atom
* space group: Pm-3m, No. 221
* DOS at the Fermi energy: 1.2 states/eV per cell
* theoretical density: 4.0 g/cm³
* polymorph energy (0 for the lowest one): 0.196 eV per atom
* magnetic moment: 0.000 μB per atom

Cell: 3.116 3.116 3.116 Å, 90.00 90.00 90.00°
Atoms (fractional coordinates):
1 H 0.000 0.500 0.000
2 H 0.000 0.000 0.500
3 H 0.500 0.000 0.000
4 Fe 0.000 0.000 0.000
5 N 0.500 0.500 0.500

***

Al5Te | PBE | optimized geometry

Output
* calculated total energy: -3.476 eV per atom
* space group: P-62m, No. 189
* DOS at the Fermi energy: 3.4 states/eV per cell
* theoretical density: 3.8 g/cm³
* formation energy (no corrections): 0.1666 eV per atom
* polymorph energy (0 for the lowest one): 0.009 eV per atom
* magnetic moment: 0.000 μB per atom

Cell: 5.218 5.218 4.858 Å, 90.00 90.00 120.00°
Atoms (fractional coordinates):
1 Al 0.635 0.000 0.000
2 Al 0.365 0.365 0.000
3 Al 0.000 0.635 0.000
4 Al 0.667 0.333 0.500
5 Al 0.333 0.667 0.500
6 Te 0.000 0.000 0.500

***

LaCd2Sb | PBE | optimized geometry

Output
* calculated total energy: -2.839 eV per atom
* space group: R3m, No. 160
* DOS at the Fermi energy: 2.2 states/eV per cell
* theoretical density: 7.3 g/cm³
* formation energy (no corrections): -0.1192 eV per atom
* magnetic moment: 0.000 μB per atom

Cell: 10.726 10.726 10.726 Å, 18.71 18.71 18.71°
Atoms (fractional coordinates):
1 Sb 0.746 0.746 0.746
2 Cd 0.998 0.998 0.998
3 Cd 0.256 0.256 0.256
4 La 0.500 0.500 0.500

***

RbLi2Tl | PBE | optimized geometry

Output
* calculated total energy: -1.848 eV per atom
* space group: R-3m, No. 166
* DOS at the Fermi energy: 2.2 states/eV per cell
* theoretical density: 3.6 g/cm³
* DFT formation energy: -0.057 eV per atom
* polymorph energy (0 for the lowest one): 0.000 eV per atom
* magnetic moment: 0.000 μB per atom

Cell: 4.961 4.961 7.149 Å, 69.70 69.70 60.00°
Atoms (fractional coordinates):
1 Tl 0.000 0.000 0.000
2 Rb 0.500 0.500 0.500
3 Li 0.315 0.315 0.055
4 Li 0.685 0.685 0.945

***

LuGa | PBE | optimized geometry

Output
* calculated total energy: -3.976 eV per atom
* space group: Fm-3m, No. 225
* DOS at the Fermi energy: 3.4 states/eV per cell
* theoretical density: 8.3 g/cm³
* DFT formation energy: -0.202 eV per atom
* magnetic moment: 0.207 μB per atom

Cell: 4.106 4.106 4.106 Å, 60.00 60.00 60.00°
Each line ends with the local moment (μB).
Atoms (fractional coordinates):
1 Lu 0.500 0.500 0.500  0.17
2 Ga 0.000 0.000 0.000  0.10

***

Ca5AcSe6 | PBE | optimized geometry

Output
* calculated total energy: -4.893 eV per atom
* space group: C2/m, No. 12
* DOS at the Fermi energy: 2.5 states/eV per cell
* theoretical density: 4.5 g/cm³
* formation energy (no corrections): -1.9740 eV per atom
* magnetic moment: 0.000 μB per atom

Cell: 7.388 7.387 7.386 Å, 59.99 80.39 70.49°
Atoms (fractional coordinates):
1 Ca 0.500 0.166 0.668
2 Ca 0.000 0.333 0.334
3 Ca 0.500 0.500 0.000
4 Ca 0.000 0.667 0.666
5 Ca 0.500 0.834 0.332
6 Ac 0.000 0.000 0.000
7 Se 0.745 0.085 0.342
8 Se 0.255 0.573 0.342
9 Se 0.255 0.257 0.000
10 Se 0.745 0.743 0.000
11 Se 0.745 0.427 0.658
12 Se 0.255 0.915 0.658

***

CaYTeI2 | PBE | optimized geometry

Output
* calculated total energy: -3.833 eV per atom
* space group: P4/mmm, No. 123
* DOS at the Fermi energy: 3.1 states/eV per cell
* theoretical density: 4.1 g/cm³
* formation energy (no corrections): -0.8913 eV per atom
* polymorph energy (0 for the lowest one): 0.000 eV per atom
* magnetic moment: 0.010 μB per atom

Cell: 5.925 5.925 5.960 Å, 90.00 90.00 90.00°
Atoms (fractional coordinates):
1 I 0.000 0.500 0.000
2 I 0.500 0.000 0.000
3 Y 0.000 0.000 0.000
4 Ca 0.500 0.500 0.500
5 Te 0.000 0.000 0.500

***

CrPtW2 | PBE | optimized geometry

Output
* calculated total energy: -10.340 eV per atom
* space group: Cmm2, No. 35
* DOS at the Fermi energy: 3.7 states/eV per cell
* theoretical density: 17.0 g/cm³
* DFT formation energy: 0.053 eV per atom
* polymorph energy (0 for the lowest one): 0.050 eV per atom
* magnetic moment: 0.000 μB per atom

Cell: 2.697 2.697 8.533 Å, 90.00 90.00 104.26°
Atoms (fractional coordinates):
1 Cr 0.000 0.000 0.503
2 Pt 0.500 0.500 0.739
3 W 0.000 0.000 0.997
4 W 0.500 0.500 0.262

***

TiSnSbIr2 | PBE | optimized geometry

Output
* calculated total energy: -5.513 eV per atom
* space group: P4/mmm, No. 123
* DOS at the Fermi energy: 7.1 states/eV per cell
* theoretical density: 9.4 g/cm³
* formation energy (no corrections): 1.2350 eV per atom
* magnetic moment: 0.000 μB per atom

Cell: 4.869 5.027 4.869 Å, 90.00 90.00 90.00°
Atoms (fractional coordinates):
1 Sb 0.500 0.500 0.500
2 Ir 0.000 0.000 0.500
3 Ir 0.500 0.000 0.000
4 Sn 0.000 0.000 0.000
5 Ti 0.000 0.500 0.000

***

Li12Ca16Mg | PBE | optimized geometry

Output
* calculated total energy: -1.921 eV per atom
* space group: Cm, No. 8
* DOS at the Fermi energy: 20.2 states/eV per cell
* theoretical density: 1.3 g/cm³
* DFT formation energy: 0.031 eV per atom
* magnetic moment: 0.000 μB per atom

Cell: 10.469 10.469 11.561 Å, 111.32 111.32 107.21°
Atoms (fractional coordinates):
1 Li 0.812 0.812 0.131
2 Li 0.617 0.617 0.796
3 Li 0.367 0.188 0.027
4 Li 0.818 0.634 0.652
5 Li 0.190 0.999 0.322
6 Li 0.386 0.997 0.182
7 Li 0.185 0.814 0.845
8 Li 0.814 0.185 0.845
9 Li 0.997 0.386 0.182
10 Li 0.999 0.190 0.322
11 Li 0.634 0.818 0.652
12 Li 0.188 0.367 0.027
13 Ca 0.378 0.378 0.365
14 Ca 0.001 0.001 0.012
15 Ca 0.003 0.003 0.698
16 Ca 0.266 0.266 0.634
17 Ca 0.642 0.410 0.001
18 Ca 0.593 0.241 0.586
19 Ca 0.989 0.736 0.372
20 Ca 0.997 0.630 0.001
21 Ca 0.749 0.354 0.343
22 Ca 0.384 0.999 0.696
23 Ca 0.999 0.384 0.696
24 Ca 0.354 0.749 0.343
25 Ca 0.630 0.997 0.001
26 Ca 0.736 0.989 0.372
27 Ca 0.241 0.593 0.586
28 Ca 0.410 0.642 0.001
29 Mg 0.616 0.616 0.309

***

CdTc2PtI | PBE | optimized geometry

Output
* calculated total energy: -4.601 eV per atom
* space group: P4/mmm, No. 123
* DOS at the Fermi energy: 4.5 states/eV per cell
* theoretical density: 7.9 g/cm³
* formation energy (no corrections): 1.2471 eV per atom
* magnetic moment: 1.314 μB per atom

Cell: 5.040 5.212 5.040 Å, 90.00 90.00 90.00°
Each line ends with the local moment (μB).
Atoms (fractional coordinates):
1 I 0.500 0.500 0.500  0.07
2 Tc 0.000 0.000 0.500  2.96
3 Tc 0.500 0.000 0.000  2.53
4 Pt 0.000 0.000 0.000  0.33
5 Cd 0.000 0.500 0.000  -0.05

***

CaIBrN2 | PBE | optimized geometry

Output
* calculated total energy: -3.084 eV per atom
* space group: P4/mmm, No. 123
* DOS at the Fermi energy: 1.9 states/eV per cell
* theoretical density: 3.8 g/cm³
* formation energy (no corrections): 1.2908 eV per atom
* polymorph energy (0 for the lowest one): 0.196 eV per atom
* magnetic moment: 0.394 μB per atom

Cell: 4.257 4.257 6.604 Å, 90.00 90.00 90.00°
Each line ends with the local moment (μB).
Atoms (fractional coordinates):
1 I 0.000 0.000 0.500  0.00
2 Ca 0.500 0.500 0.500  -0.02
3 Br 0.000 0.000 0.000  0.04
4 N 0.000 0.500 0.000  0.68
5 N 0.500 0.000 0.000  0.68

***

Pa2ZnGa6 | PBE | optimized geometry

Output
* calculated total energy: -4.365 eV per atom
* space group: P4/mmm, No. 123
* DOS at the Fermi energy: 9.6 states/eV per cell
* theoretical density: 8.8 g/cm³
* DFT formation energy: -0.095 eV per atom
* magnetic moment: 0.000 μB per atom

Cell: 4.596 4.596 8.422 Å, 90.00 90.00 90.00°
Atoms (fractional coordinates):
1 Pa 0.500 0.500 0.750
2 Pa 0.500 0.500 0.250
3 Zn 0.000 0.000 0.000
4 Ga 0.500 0.000 0.000
5 Ga 0.500 0.000 0.500
6 Ga 0.000 0.500 0.000
7 Ga 0.000 0.500 0.500
8 Ga 0.000 0.000 0.697
9 Ga 0.000 0.000 0.303

***

AcPI2O4 | PBE | optimized geometry

Output
* calculated total energy: -5.914 eV per atom
* space group: Fddd, No. 70
* DOS at the Fermi energy: 13.6 states/eV per cell
* theoretical density: 4.0 g/cm³
* formation energy (no corrections): -1.8576 eV per atom
* magnetic moment: 0.000 μB per atom

Cell: 6.045 10.294 8.606 Å, 84.08 69.44 72.93°
Atoms (fractional coordinates):
1 Ac 0.750 0.500 0.500
2 Ac 0.000 0.000 0.000
3 P 0.250 0.500 0.500
4 P 0.500 0.000 0.000
5 I 0.232 0.000 0.536
6 I 0.768 0.000 0.464
7 I 0.518 0.500 0.964
8 I 0.982 0.500 0.036
9 O 0.335 0.910 0.108
10 O 0.353 0.090 0.892
11 O 0.755 0.910 0.892
12 O 0.557 0.090 0.108
13 O 0.415 0.590 0.392
14 O 0.397 0.410 0.608
15 O 0.995 0.590 0.608
16 O 0.193 0.410 0.392

***

Dy2Tl3CrS6 | PBE | optimized geometry

Output
* calculated total energy: -5.362 eV per atom
* space group: C2/m, No. 12
* theoretical density: 6.7 g/cm³
* formation energy (no corrections): -1.1380 eV per atom
* magnetic moment: 0.251 μB per atom

Cell: 6.733 6.733 7.811 Å, 98.23 98.23 119.94°
Each line ends with the local moment (μB).
Atoms (fractional coordinates):
1 Dy 0.334 0.666 0.000  0.02
2 Dy 0.666 0.334 0.000  0.02
3 Tl 0.174 0.826 0.500  0.00
4 Tl 0.826 0.174 0.500  0.00
5 Tl 0.500 0.500 0.500  0.00
6 Cr 0.000 0.000 0.000  2.90
7 S 0.937 0.633 0.812  -0.02
8 S 0.759 0.759 0.196  -0.03
9 S 0.063 0.367 0.188  -0.02
10 S 0.633 0.937 0.812  -0.02
11 S 0.241 0.241 0.804  -0.03
12 S 0.367 0.063 0.188  -0.02

***

CuOs3W | PBE | optimized geometry

Output
* calculated total energy: -7.723 eV per atom
* space group: Pm-3m, No. 221
* DOS at the Fermi energy: 7.0 states/eV per cell
* theoretical density: 12.9 g/cm³
* DFT formation energy: 2.424 eV per atom
* polymorph energy (0 for the lowest one): 0.452 eV per atom
* magnetic moment: 0.420 μB per atom

Cell: 4.719 4.719 4.719 Å, 90.00 90.00 90.00°
Each line ends with the local moment (μB).
Atoms (fractional coordinates):
1 Os 0.000 0.500 0.000  0.71
2 Os 0.000 0.000 0.500  0.63
3 Os 0.500 0.000 0.000  0.70
4 Cu 0.500 0.500 0.500  0.10
5 W 0.000 0.000 0.000  -0.11